1.
Computed, not measured: a relaxed structure of RbScTiBr6 at the PBE-GGA level of DFT.

Cell and atoms, written as POSCAR:
```
RbScTiBr6
1.0
6.853 0.000 0.000
-3.426 5.935 0.000
0.000 0.000 15.928
Rb Sc Ti Br
2 2 2 12
direct
0.000 0.000 0.000
0.000 0.000 0.500
0.333 0.667 0.250
0.667 0.333 0.750
0.333 0.667 0.750
0.667 0.333 0.250
0.002 0.364 0.653
0.002 0.638 0.847
0.362 0.364 0.847
0.362 0.998 0.653
0.364 0.002 0.153
0.364 0.362 0.347
0.636 0.638 0.653
0.636 0.998 0.847
0.638 0.002 0.347
0.638 0.636 0.153
0.998 0.362 0.153
0.998 0.636 0.347
```

Output
M_tot   0.22 μB per atom
ΔE_f (raw)   -1494 meV/atom

***

2.
Computed, not measured: a relaxed structure of VRhS3 at the PBE-GGA level of DFT.

Cell and atoms, written as POSCAR:
```
VRhS3
1.0
4.502 0.000 0.000
0.000 4.502 0.000
0.000 0.000 4.502
V Rh S
1 1 3
direct
0.000 0.000 0.000
0.500 0.500 0.500
0.000 0.000 0.500
0.000 0.500 0.000
0.500 0.000 0.000
```

Output
M_tot   0.20 μB per atom
ΔE_f (raw)   328 meV/atom

***

3.
Computed, not measured: a relaxed structure of ReHgTe2 at the PBE-GGA level of DFT.

Cell and atoms, written as POSCAR:
```
ReHgTe2
1.0
0.000 3.565 3.565
3.565 0.000 3.565
3.565 3.565 0.000
Re Hg Te
1 1 2
direct
0.000 0.000 0.000
0.250 0.250 0.250
0.500 0.500 0.500
0.750 0.750 0.750
```

Output
M_tot   0.39 μB per atom
ΔE_f (raw)   1181 meV/atom

***

4.
Computed, not measured: a relaxed structure of Er2TlP at the PBE-GGA level of DFT.

Cell and atoms, written as POSCAR:
```
Er2TlP
1.0
3.340 -1.939 0.000
3.340 1.939 0.000
-2.269 0.000 7.907
Er Tl P
2 1 1
direct
0.234 0.234 0.201
0.766 0.766 0.799
0.000 0.000 0.500
0.500 0.500 0.000
```

Output
M_tot   0.00 μB per atom
Formation energy   -0.9612 eV per atom

***

5.
Computed, not measured: a relaxed structure of Sb3Cl at the PBE-GGA level of DFT.

Cell and atoms, written as POSCAR:
```
Sb3Cl
1.0
1.832 -2.821 0.000
1.832 2.821 0.000
0.000 0.000 9.996
Sb Cl
3 1
direct
0.000 0.000 0.000
0.500 0.500 0.259
0.500 0.500 0.741
0.000 0.000 0.500
```

Output
M_tot   0.00 μB per atom
ΔE_f (raw)   42 meV/atom

***

6.
Computed, not measured: a relaxed structure of PmMg2Pb at the PBE-GGA level of DFT.

Cell and atoms, written as POSCAR:
```
PmMg2Pb
1.0
3.616 0.000 0.000
0.000 3.616 0.000
0.000 0.000 8.405
Pm Mg Pb
1 2 1
direct
0.000 0.000 0.000
0.500 0.500 0.269
0.500 0.500 0.731
0.000 0.000 0.500
```

Output
M_tot   0.07 μB per atom
Formation energy   -0.1208 eV per atom